The following is a DFT calculation (PBE+U) of VSe3F after structural relaxation.

```
data_VSe3F
_chemical_formula_sum 'V1 Se3 F1'
_cell_length_a 4.781
_cell_length_b 4.781
_cell_length_c 4.781
_cell_angle_alpha 90.00
_cell_angle_beta 90.00
_cell_angle_gamma 90.00
_space_group_name_H-M_alt 'P m -3 m'
_space_group_IT_number 221
_space_group_name_Hall '-P 4 2 3'
loop_
_atom_site_label
_atom_site_fract_x
_atom_site_fract_y
_atom_site_fract_z
_atom_site_occupancy
V1 0.000 0.000 0.000 1
Se1 0.000 0.000 0.500 1
F1 0.500 0.500 0.500 1
```

Properties
Energy above the lowest structure with this stoichiometry: 0.0 meV/atom
Crystal system: cubic